Record 1
Material: Pm2Dy2Y4Ho
Method: DFT, GGA-PBE
State: optimized geometry

Unit cell a=3.6085 b=9.5367 c=9.5898 alpha=115.21 beta=90.00 gamma=100.91
Positions (direct):
Ho 0.0000 0.0000 0.0000
Y 0.4809 0.9618 0.6652
Y 0.1855 0.3711 0.3343
Dy 0.1478 0.2957 0.6644
Pm 0.6657 0.3314 0.9980
Y 0.5191 0.0382 0.3348
Pm 0.3343 0.6686 0.0020
Y 0.8145 0.6289 0.6657
Dy 0.8522 0.7043 0.3356

Summary:
E_form: -0.003 eV per atom

***

Record 2
Material: Pm6Dy2Y3Ho
Method: DFT, GGA-PBE
State: optimized geometry

Unit cell a=6.2524 b=6.2524 c=11.8561 alpha=95.02 beta=95.02 gamma=119.98
Positions (direct):
Dy 0.6666 0.3334 0.0000
Y 0.5000 0.5000 0.5000
Ho 0.0000 0.0000 0.0000
Pm 0.0834 0.4166 0.2488
Y 0.1667 0.8333 0.5000
Pm 0.7502 0.7502 0.2490
Pm 0.4166 0.0834 0.2488
Dy 0.3334 0.6666 0.0000
Pm 0.5834 0.9166 0.7512
Pm 0.2498 0.2498 0.7510
Pm 0.9166 0.5834 0.7512
Y 0.8333 0.1667 0.5000

Summary:
E_form: 0.011 eV per atom

***

Record 3
Material: PmDyY2Ho2
Method: DFT, GGA-PBE
State: optimized geometry

Unit cell a=3.4024 b=6.5322 c=17.8004 alpha=90.00 beta=90.00 gamma=90.00
Positions (direct):
Ho 0.0000 0.2779 0.1469
Y 0.0000 0.2241 0.8138
Dy 0.0000 0.0000 0.5000
Pm 0.0000 0.0000 0.0000
Y 0.5000 0.7241 0.6862
Ho 0.0000 0.7221 0.8531
Ho 0.5000 0.2221 0.6469
Pm 0.5000 0.5000 0.5000
Y 0.0000 0.7759 0.1862
Dy 0.5000 0.5000 0.0000
Ho 0.5000 0.7779 0.3531
Y 0.5000 0.2759 0.3138

Summary:
E_form: 0.269 eV per atom

***

Record 4
Material: PmDy3YHo
Method: DFT, GGA-PBE
State: optimized geometry

Unit cell a=5.6745 b=10.2951 c=6.9334 alpha=90.20 beta=90.00 gamma=106.00
Positions (direct):
Y 0.0543 0.1085 0.2626
Pm 0.6454 0.2908 0.0248
Dy 0.4783 0.9565 0.2595
Dy 0.5217 0.0435 0.7405
Ho 0.6493 0.2985 0.4597
Dy 0.7801 0.5601 0.7564
Y 0.9457 0.8915 0.7374
Pm 0.3546 0.7092 0.9752
Dy 0.1630 0.3260 0.7325
Ho 0.3507 0.7015 0.5403
Dy 0.8370 0.6740 0.2675
Dy 0.2199 0.4399 0.2436

Summary:
E_form: 0.204 eV per atom

***

Record 5
Material: Pm4Dy2YHo2
Method: DFT, GGA-PBE
State: optimized geometry

Unit cell a=5.0743 b=8.0352 c=8.0262 alpha=107.49 beta=90.00 gamma=108.41
Positions (direct):
Y 0.0000 0.0000 0.0000
Dy 0.1115 0.2231 0.6685
Pm 0.4454 0.8907 0.6674
Pm 0.2229 0.4458 0.3325
Ho 0.6674 0.3349 0.9997
Pm 0.5546 0.1093 0.3326
Pm 0.7771 0.5542 0.6675
Dy 0.8885 0.7769 0.3315
Ho 0.3326 0.6651 0.0003

Summary:
E_form: 0.019 eV per atom

***

Record 6
Material: Pm2Dy6YHo
Method: DFT, GGA-PBE
State: optimized geometry

Unit cell a=9.6473 b=8.8010 c=8.8010 alpha=118.40 beta=94.30 gamma=94.30
Positions (direct):
Pm 0.5425 0.1945 0.3017
Dy 0.3127 0.9787 0.4258
Ho 0.7500 0.5920 0.4080
Dy 0.6873 0.0213 0.5742
Dy 0.8127 0.4258 0.9787
Y 0.7500 0.0194 0.9806
Dy 0.5568 0.7473 0.1271
Dy 0.4432 0.2527 0.8729
Dy 0.1873 0.5742 0.0213
Pm 0.0425 0.3017 0.1945
Dy 0.6194 0.4992 0.7100
Y 0.2500 0.9806 0.0194
Dy 0.9432 0.8729 0.2527
Dy 0.0568 0.1271 0.7473
Ho 0.2500 0.4080 0.5920
Dy 0.8806 0.2900 0.5008
Dy 0.3806 0.5008 0.2900
Dy 0.1194 0.7100 0.4992
Pm 0.9575 0.6983 0.8055
Pm 0.4575 0.8055 0.6983

Summary:
E_form: 0.114 eV per atom

***

Record 7
Material: Pm2DyY3Ho6
Method: DFT, GGA-PBE
State: optimized geometry

Unit cell a=6.1635 b=6.1635 c=11.7858 alpha=94.98 beta=94.98 gamma=119.95
Positions (direct):
Y 0.8335 0.1665 0.5000
Ho 0.2482 0.2482 0.7490
Ho 0.4173 0.0845 0.2509
Ho 0.0845 0.4173 0.2509
Ho 0.5827 0.9155 0.7491
Y 0.1665 0.8335 0.5000
Y 0.5000 0.5000 0.5000
Ho 0.9155 0.5827 0.7491
Ho 0.7518 0.7518 0.2510
Pm 0.3333 0.6667 0.0000
Pm 0.6667 0.3333 0.0000
Dy 0.0000 0.0000 0.0000

Summary:
E_form: 0.019 eV per atom

***

Record 8
Material: Pm2Dy2YHo2
Method: DFT, GGA-PBE
State: optimized geometry

Unit cell a=5.6914 b=5.6914 c=8.7899 alpha=71.11 beta=71.11 gamma=60.00
Positions (direct):
Pm 0.1390 0.1390 0.5831
Pm 0.8610 0.8610 0.4169
Dy 0.2826 0.2826 0.1521
Ho 0.4252 0.4252 0.7245
Ho 0.5748 0.5748 0.2755
Y 0.0000 0.0000 0.0000
Dy 0.7174 0.7174 0.8479

Summary:
E_form: 0.142 eV per atom

***

no.,V (A^3/atom),magnetic moment (μB per atom)
1,32.4,0.0000
2,32.9,0.0000
3,33.0,0.0000
4,32.4,0.0000
5,32.7,0.0000
6,32.5,0.0000
7,31.8,0.0000
8,32.7,0.0066